# 1
The following is a PBE-GGA calculation of Sr3Ca2P3O12F after structural relaxation, from Alexandria.

a = 7.184 Å, b = 9.680 Å, c = 9.706 Å
α = 119.86°, β = 90.14°, γ = 90.09°
Space group P1 (No. 1)
Asymmetric unit:
Sr (0.000, 0.000, 0.000) x1
Sr (0.001, 0.227, 0.739) x1
Sr (0.007, 0.499, 0.231) x1
Sr (0.252, 0.575, 0.657) x1
Sr (0.499, 0.255, 0.229) x1
Sr (0.752, 0.908, 0.320) x1
Ca (0.253, 0.919, 0.321) x1
Ca (0.502, 0.990, 0.730) x1
Ca (0.506, 0.489, 0.985) x1
Ca (0.749, 0.577, 0.656) x1
P (0.002, 0.275, 0.391) x1
P (0.006, 0.845, 0.618) x1
P (0.008, 0.610, 0.961) x1
P (0.504, 0.870, 0.017) x1
P (0.505, 0.211, 0.588) x1
P (0.508, 0.639, 0.356) x1
O (0.017, 0.093, 0.325) x1
O (0.020, 0.903, 0.495) x1
O (0.026, 0.733, 0.141) x1
O (0.182, 0.340, 0.355) x1
O (0.184, 0.892, 0.724) x1
O (0.187, 0.506, 0.899) x1
O (0.331, 0.981, 0.066) x1
O (0.333, 0.160, 0.650) x1
O (0.350, 0.550, 0.234) x1
O (0.473, 0.823, 0.446) x1
O (0.489, 0.129, 0.404) x1
O (0.489, 0.769, 0.101) x1
O (0.516, 0.763, 0.833) x1
O (0.520, 0.396, 0.668) x1
O (0.522, 0.576, 0.475) x1
O (0.679, 0.140, 0.626) x1
O (0.679, 0.978, 0.083) x1
O (0.688, 0.607, 0.256) x1
O (0.835, 0.923, 0.729) x1
O (0.836, 0.311, 0.310) x1
O (0.838, 0.498, 0.931) x1
O (0.974, 0.366, 0.574) x1
O (0.980, 0.698, 0.864) x1
O (0.985, 0.660, 0.533) x1
F (0.043, 0.243, 0.994) x1
F (0.530, 0.236, 0.964) x1

formation energy (no corrections): -3004 meV/atom
DOS at the Fermi energy: 0.000 states/eV/f.u.

# 2
The following is a PBE-GGA calculation of ReSn2N after structural relaxation, from Alexandria.

a = 6.368 Å, b = 6.368 Å, c = 7.220 Å
α = 90.00°, β = 90.00°, γ = 90.00°
Space group I-42d (No. 122)
Asymmetric unit:
Re (0.000, 0.000, 0.000) x4
Sn (0.182, 0.250, 0.625) x8
N (0.000, 0.000, 0.500) x4

formation energy (no corrections): 924 meV/atom
DOS at the Fermi energy: 2.449 states/eV/f.u.

# 3
The following is a PBE-GGA calculation of BaBeAl2Os after structural relaxation, from Alexandria.

a = 4.826 Å, b = 4.826 Å, c = 4.685 Å
α = 90.00°, β = 90.00°, γ = 90.00°
Space group P4/mmm (No. 123)
Asymmetric unit:
Ba (0.000, 0.000, 0.000) x1
Be (0.500, 0.500, 0.000) x1
Al (0.000, 0.500, 0.500) x2
Os (0.500, 0.500, 0.500) x1

formation enthalpy at 0 K: -0.95 eV per formula unit
DOS at the Fermi energy: 1.349 states/eV/f.u.

# 4
The following is a PBE-GGA calculation of Pa2IrBr2 after structural relaxation, from Alexandria.

a = 7.072 Å, b = 4.077 Å, c = 11.413 Å
α = 90.00°, β = 103.17°, γ = 90.00°
Space group C2/m (No. 12)
Asymmetric unit:
Pa (0.216, 0.000, 0.133) x4
Ir (0.000, 0.500, 0.000) x2
Br (0.051, 0.000, 0.685) x4

formation energy (no corrections): -1026 meV/atom
DOS at the Fermi energy: 7.963 states/eV/f.u.

# 5
The following is a PBE-GGA calculation of KBa2PO after structural relaxation, from Alexandria.

a = 5.357 Å, b = 5.357 Å, c = 5.069 Å
α = 90.00°, β = 90.00°, γ = 90.00°
Space group P4/mmm (No. 123)
Asymmetric unit:
K (0.000, 0.000, 0.000) x1
Ba (0.000, 0.500, 0.500) x2
P (0.500, 0.500, 0.000) x1
O (0.000, 0.000, 0.500) x1

formation energy (no corrections): -1306 meV/atom

# 6
The following is a PBE-GGA calculation of BiSb after structural relaxation, from Alexandria.

a = 7.145 Å, b = 7.145 Å, c = 7.145 Å
α = 90.00°, β = 90.00°, γ = 90.00°
Space group F-43m (No. 216)
Asymmetric unit:
Bi (0.000, 0.000, 0.000) x4
Sb (0.250, 0.250, 0.250) x4

formation energy (no corrections): 230 meV/atom
DOS at the Fermi energy: 0.906 states/eV/f.u.

# 7
The following is a PBE-GGA calculation of AcAlPd after structural relaxation, from Alexandria.

a = 4.4986 Å, b = 4.4986 Å, c = 4.4056 Å
α = 90.00°, β = 90.00°, γ = 120.00°
Space group P-6m2 (No. 187)
Asymmetric unit:
Ac (0.0000, 0.0000, 0.0000) x1
Al (0.6667, 0.3333, 0.5000) x1
Pd (0.3333, 0.6667, 0.5000) x1

formation enthalpy at 0 K: -2.10 eV per formula unit
DOS at the Fermi energy: 2.132 states/eV/f.u.

# 8
The following is a PBE-GGA calculation of SrMnAs2Rh after structural relaxation, from Alexandria.

a = 4.040 Å, b = 4.040 Å, c = 12.380 Å
α = 90.00°, β = 90.00°, γ = 90.00°
Space group I-4m2 (No. 119)
Asymmetric unit:
Sr (0.000, 0.000, 0.000) x2
Mn (0.000, 0.500, 0.250) x2
As (0.000, 0.000, 0.365) x4
Rh (0.000, 0.500, 0.750) x2

formation enthalpy at 0 K: -3.41 eV per formula unit
DOS at the Fermi energy: 2.790 states/eV/f.u.

# 9
The following is a PBE-GGA calculation of HgGe3C after structural relaxation, from Alexandria.

a = 4.446 Å, b = 4.446 Å, c = 4.446 Å
α = 90.00°, β = 90.00°, γ = 90.00°
Space group Pm-3m (No. 221)
Asymmetric unit:
Hg (0.000, 0.000, 0.000) x1
Ge (0.000, 0.500, 0.500) x3
C (0.500, 0.500, 0.500) x1

formation enthalpy at 0 K: 4.67 eV per formula unit
DOS at the Fermi energy: 3.631 states/eV/f.u.